Entry 1:
The following is a DFT calculation (SCAN) of a PBEsol-optimized structure of BiPAuCl2.

ΔE to the lowest computed polymorph: 0 meV per atom
uncorrected formation energy: 66 kJ/mol of formula units
SG: P4/mmm (123)

Cell lengths 4.467, 4.467, 5.856 Å; angles 90.00, 90.00, 90.00 degrees
Positions (direct):
Bi 0.000 0.000 0.000
P 0.000 0.000 0.500
Au 0.500 0.500 0.000
Cl 0.000 0.500 0.500
Cl 0.500 0.000 0.500



Entry 2:
The following is a DFT calculation (SCAN) of a PBEsol-optimized structure of BiPAuCl2.

ΔE to the lowest computed polymorph: 159 meV per atom
uncorrected formation energy: 143 kJ/mol of formula units
SG: P4/mmm (123)

Cell lengths 4.824, 4.824, 4.945 Å; angles 90.00, 90.00, 90.00 degrees
Positions (direct):
Bi 0.000 0.000 0.000
P 0.500 0.500 0.000
Au 0.500 0.500 0.500
Cl 0.000 0.500 0.500
Cl 0.500 0.000 0.500



Entry 3:
The following is a DFT calculation (SCAN) of a PBEsol-optimized structure of Rb2BiAuCl6.

uncorrected formation energy: -1224 kJ/mol of formula units
SG: Fm-3m (225)

Cell lengths 7.508, 7.508, 7.508 Å; angles 60.00, 60.00, 60.00 degrees
Positions (direct):
Rb 0.250 0.250 0.250
Rb 0.750 0.750 0.750
Bi 0.000 0.000 0.000
Au 0.500 0.500 0.500
Cl 0.254 0.254 0.746
Cl 0.254 0.746 0.254
Cl 0.254 0.746 0.746
Cl 0.746 0.254 0.254
Cl 0.746 0.254 0.746
Cl 0.746 0.746 0.254



Entry 4:
The following is a DFT calculation (SCAN) of a PBEsol-optimized structure of CoBi2Au.

ΔE to the lowest computed polymorph: 218 meV per atom
formation enthalpy at 0 K: 55 kJ/mol of atoms
SG: Fm-3m (225)

Cell lengths 6.925, 6.925, 6.925 Å; angles 90.00, 90.00, 90.00 degrees
Positions (direct):
Co 0.000 0.000 0.000
Co 0.000 0.500 0.500
Co 0.500 0.000 0.500
Co 0.500 0.500 0.000
Bi 0.250 0.250 0.250
Bi 0.250 0.250 0.750
Bi 0.250 0.750 0.250
Bi 0.250 0.750 0.750
Bi 0.750 0.250 0.250
Bi 0.750 0.250 0.750
Bi 0.750 0.750 0.250
Bi 0.750 0.750 0.750
Au 0.000 0.000 0.500
Au 0.000 0.500 0.000
Au 0.500 0.000 0.000
Au 0.500 0.500 0.500



Entry 5:
The following is a DFT calculation (SCAN) of a PBEsol-optimized structure of CoBi2Au.

ΔE to the lowest computed polymorph: 0 meV per atom
formation enthalpy at 0 K: 34 kJ/mol of atoms
SG: I-42d (122)

Cell lengths 4.928, 4.928, 15.992 Å; angles 90.00, 90.00, 90.00 degrees
Positions (direct):
Co 0.000 0.000 0.000
Co 0.000 0.500 0.250
Co 0.500 0.000 0.750
Co 0.500 0.500 0.500
Bi 0.212 0.250 0.125
Bi 0.250 0.712 0.375
Bi 0.250 0.788 0.875
Bi 0.288 0.250 0.625
Bi 0.712 0.750 0.625
Bi 0.750 0.212 0.875
Bi 0.750 0.288 0.375
Bi 0.788 0.750 0.125
Au 0.000 0.000 0.500
Au 0.000 0.500 0.750
Au 0.500 0.000 0.250
Au 0.500 0.500 0.000



Entry 6:
The following is a DFT calculation (SCAN) of a PBEsol-optimized structure of HfCo2BiAu.

formation enthalpy at 0 K: 101 kJ/mol of atoms
SG: P4/mmm (123)

Cell lengths 4.575, 4.575, 5.270 Å; angles 90.00, 90.00, 90.00 degrees
Positions (direct):
Hf 0.000 0.000 0.000
Co 0.000 0.500 0.500
Co 0.500 0.000 0.500
Bi 0.500 0.500 0.000
Au 0.500 0.500 0.500



Entry 7:
The following is a DFT calculation (SCAN) of a PBEsol-optimized structure of MnCoBi2Au.

formation enthalpy at 0 K: 87 kJ/mol of atoms
SG: P4/mmm (123)

Cell lengths 4.944, 4.944, 4.861 Å; angles 90.00, 90.00, 90.00 degrees
Positions (direct):
Mn 0.000 0.000 0.000
Co 0.500 0.500 0.500
Bi 0.000 0.500 0.000
Bi 0.500 0.000 0.000
Au 0.000 0.000 0.500



Entry 8:
The following is a DFT calculation (SCAN) of a PBEsol-optimized structure of KCrBi2Au.

formation enthalpy at 0 K: 136 kJ/mol of atoms
SG: P4/mmm (123)

Cell lengths 5.712, 5.712, 5.258 Å; angles 90.00, 90.00, 90.00 degrees
Positions (direct):
K 0.000 0.000 0.000
Cr 0.500 0.500 0.500
Bi 0.000 0.500 0.000
Bi 0.500 0.000 0.000
Au 0.000 0.000 0.500